First-principles (PBE-GGA) data for a geometry-optimized BaLaPr2 structure, as listed in Alexandria via LeMat-Bulk.

Cell lengths 4.416, 4.416, 11.109 Å; angles 78.54, 78.54, 60.00 degrees
Element x y z (fractional)
Ba (0.000, 0.000, 0.000)
Pr (0.113, 0.113, 0.662)
Pr (0.887, 0.887, 0.338)
La (0.500, 0.500, 0.500)

offset from the most stable computed form	601	meV/atom
space group	R-3m (166)
E_form	0.697	eV per atom
total magnetization	0.0	μB per formula unit
DFT total energy	-13.621	eV for the cell shown